Entry 1:
The following is a DFT calculation (PBE) of crystalline PrBr at its relaxed geometry.

abc: 3.7249 3.7249 4.6665
angles: 90.00 90.00 120.00
Last column: nearest neighbours and their distance in Å.
Sites, in units of the cell vectors:
1 Pr 0.0000 0.0000 0.0000  6 Br 3.17
2 Br 0.3333 0.6667 0.5000  6 Pr 3.17

Properties
The volume comes out at 28.036 A^3/atom. The calculation puts the energy at -4.41 eV/atom.

Entry 2:
The following is a DFT calculation (PBE) of crystalline CdFeGeMo at its relaxed geometry.

abc: 4.4487 4.4487 4.4487
angles: 60.00 60.00 60.00
Last column: nearest neighbours and their distance in Å.
Sites, in units of the cell vectors:
1 Cd 0.0000 0.0000 0.0000  4 Fe 2.72, 4 Mo 2.72
2 Fe 0.7500 0.7500 0.7500  4 Ge 2.72, 4 Cd 2.72
3 Ge 0.5000 0.5000 0.5000  4 Mo 2.72, 4 Fe 2.72
4 Mo 0.2500 0.2500 0.2500  4 Cd 2.72, 4 Ge 2.72

Properties
The volume comes out at 15.564 A^3/atom. The calculation puts the energy at -5.70 eV/atom.

Entry 3:
The following is a DFT calculation (PBE) of crystalline Ta2Ga3Mo4N3 at its relaxed geometry.

abc: 5.0352 5.0352 14.7434
angles: 99.85 99.85 59.95
Last column: nearest neighbours and their distance in Å.
Sites, in units of the cell vectors:
1 Ta 0.0313 0.8622 0.5948  3 N 2.16-2.17
2 Ta 0.1378 0.9687 0.9052  3 N 2.16-2.17
3 Ta 0.8622 0.0313 0.0948  3 N 2.16-2.17
4 Ta 0.9687 0.1378 0.4052  3 N 2.16-2.17
5 Ga 0.0820 0.2650 0.7494  4 Mo 2.75-2.76, 6 Ga 2.85-3.03, 2 Ta 2.85
6 Ga 0.2650 0.0820 0.2494  4 Mo 2.75-2.76, 6 Ga 2.85-3.03, 2 Ta 2.85
7 Ga 0.4291 0.5709 0.7500  4 Mo 2.75, 2 Ta 2.84, 6 Ga 2.85-3.03
8 Ga 0.5709 0.4291 0.2500  4 Mo 2.75, 2 Ta 2.84, 6 Ga 2.85-3.03
9 Ga 0.7350 0.9180 0.7506  4 Mo 2.75-2.76, 6 Ga 2.85-3.03, 2 Ta 2.85
10 Ga 0.9180 0.7350 0.2506  4 Mo 2.75-2.76, 6 Ga 2.85-3.03, 2 Ta 2.85
11 Mo 0.1995 0.3681 0.0970  3 N 2.18-2.19
12 Mo 0.3038 0.4654 0.4031  3 N 2.18-2.19
13 Mo 0.3681 0.1995 0.5970  3 N 2.18-2.19
14 Mo 0.4654 0.3038 0.9031  3 N 2.18-2.19
15 Mo 0.5346 0.6962 0.0969  3 N 2.18-2.19
16 Mo 0.6319 0.8005 0.4030  3 N 2.18-2.19
17 Mo 0.6962 0.5346 0.5969  3 N 2.18-2.19
18 Mo 0.8005 0.6319 0.9030  3 N 2.18-2.19
19 N 0.0000 0.5000 0.5000  2 Ta 2.16, 4 Mo 2.19
20 N 0.1650 0.6694 0.0000  2 Ta 2.16-2.17, 4 Mo 2.18-2.19
21 N 0.3306 0.8350 0.5000  2 Ta 2.16-2.17, 4 Mo 2.18-2.19
22 N 0.5000 0.0000 0.0000  2 Ta 2.16, 4 Mo 2.19
23 N 0.6694 0.1650 0.5000  2 Ta 2.16-2.17, 4 Mo 2.18-2.19
24 N 0.8350 0.3306 0.0000  2 Ta 2.16-2.17, 4 Mo 2.18-2.19

Properties
The volume comes out at 13.216 A^3/atom. The calculation puts the energy at -8.76 eV/atom.

Entry 4:
The following is a DFT calculation (PBE) of crystalline SmZrTe at its relaxed geometry.

abc: 5.2030 5.2030 5.2030
angles: 60.00 60.00 60.00
Last column: nearest neighbours and their distance in Å.
Sites, in units of the cell vectors:
1 Sm 0.0000 0.0000 0.0000  4 Zr 3.19, 4 Te 3.19
2 Zr 0.2500 0.2500 0.2500  4 Sm 3.19
3 Te 0.7500 0.7500 0.7500  4 Sm 3.19

Properties
The volume comes out at 33.199 A^3/atom. The calculation puts the energy at -5.10 eV/atom.

Entry 5:
The following is a DFT calculation (PBE) of crystalline TmTlF3 at its relaxed geometry.

abc: 4.3684 4.3684 4.3655
angles: 90.00 90.00 90.67
Last column: nearest neighbours and their distance in Å.
Sites, in units of the cell vectors:
1 Tm 0.0000 0.0000 0.0000  6 F 2.18
2 Tl 0.5000 0.5000 0.5000  12 F 3.07-3.11
3 F 0.0000 0.0000 0.5000  2 Tm 2.18
4 F 0.0000 0.5000 0.0000  2 Tm 2.18
5 F 0.5000 0.0000 0.0000  2 Tm 2.18

Properties
The volume comes out at 16.660 A^3/atom. The calculation puts the energy at -5.38 eV/atom.

Entry 6:
The following is a DFT calculation (PBE) of crystalline CsInBAu at its relaxed geometry.

abc: 5.2506 5.2506 5.2506
angles: 60.00 60.00 60.00
Last column: nearest neighbours and their distance in Å.
Sites, in units of the cell vectors:
1 Cs 0.0000 0.0000 0.0000  4 In 3.22, 4 B 3.22
2 In 0.2500 0.2500 0.2500  4 Au 3.22, 4 Cs 3.22
3 B 0.7500 0.7500 0.7500  4 Cs 3.22, 4 Au 3.22
4 Au 0.5000 0.5000 0.5000  4 In 3.22, 4 B 3.22

Properties
The volume comes out at 25.588 A^3/atom. The calculation puts the energy at -2.22 eV/atom.

Entry 7:
The following is a DFT calculation (PBE) of crystalline Nb4AuC3 at its relaxed geometry.

abc: 3.1628 3.1628 24.6266
angles: 90.00 90.00 120.00
Last column: nearest neighbours and their distance in Å.
Sites, in units of the cell vectors:
1 Nb 0.0000 0.0000 0.1554  3 C 2.17
2 Nb 0.0000 0.0000 0.3446  3 C 2.17
3 Nb 0.0000 0.0000 0.6554  3 C 2.17
4 Nb 0.0000 0.0000 0.8446  3 C 2.17
5 Nb 0.3333 0.6667 0.0546  6 C 2.25-2.27
6 Nb 0.3333 0.6667 0.4454  6 C 2.25-2.27
7 Nb 0.6667 0.3333 0.5546  6 C 2.25-2.27
8 Nb 0.6667 0.3333 0.9454  6 C 2.25-2.27
9 Au 0.3333 0.6667 0.2500  6 Nb 2.96, 6 Au 3.16
10 Au 0.6667 0.3333 0.7500  6 Nb 2.96, 6 Au 3.16
11 C 0.0000 0.0000 0.0000  6 Nb 2.27
12 C 0.0000 0.0000 0.5000  6 Nb 2.27
13 C 0.3333 0.6667 0.6079  6 Nb 2.17-2.25
14 C 0.3333 0.6667 0.8921  6 Nb 2.17-2.25
15 C 0.6667 0.3333 0.1079  6 Nb 2.17-2.25
16 C 0.6667 0.3333 0.3921  6 Nb 2.17-2.25

Properties
The volume comes out at 13.334 A^3/atom. The calculation puts the energy at -9.36 eV/atom.

Entry 8:
The following is a DFT calculation (PBE) of crystalline ZrGaNiIr at its relaxed geometry.

abc: 4.4422 4.4422 4.4422
angles: 60.00 60.00 60.00
Last column: nearest neighbours and their distance in Å.
Sites, in units of the cell vectors:
1 Zr 0.0000 0.0000 0.0000  4 Ir 2.72, 4 Ni 2.72
2 Ga 0.5000 0.5000 0.5000  4 Ni 2.72, 4 Ir 2.72
3 Ni 0.2500 0.2500 0.2500  4 Ga 2.72, 4 Zr 2.72
4 Ir 0.7500 0.7500 0.7500  4 Ga 2.72, 4 Zr 2.72

Properties
The volume comes out at 15.496 A^3/atom. The calculation puts the energy at -7.11 eV/atom.

Entry 9:
The following is a DFT calculation (PBE) of crystalline TaTeSe at its relaxed geometry.

abc: 3.5789 11.5038 11.5038
angles: 148.54 90.00 90.00
Last column: nearest neighbours and their distance in Å.
Sites, in units of the cell vectors:
1 Ta 0.0000 0.0000 0.0000  2 Se 2.60, 4 Te 2.81
2 Ta 0.5000 0.4571 0.4571  4 Se 2.62, 2 Te 2.85
3 Te 0.5000 0.7271 0.8909  3 Ta 2.81-2.85
4 Te 0.5000 0.8909 0.7271  3 Ta 2.81-2.85
5 Se 0.0000 0.2387 0.3918  3 Ta 2.60-2.62
6 Se 0.0000 0.3918 0.2387  3 Ta 2.60-2.62

Properties
The volume comes out at 41.193 A^3/atom. The calculation puts the energy at -6.73 eV/atom.

Entry 10:
The following is a DFT calculation (PBE) of crystalline NaYHfPt at its relaxed geometry.

abc: 4.8780 4.8780 4.8780
angles: 60.00 60.00 60.00
Last column: nearest neighbours and their distance in Å.
Sites, in units of the cell vectors:
1 Na 0.0000 0.0000 0.0000  4 Y 2.99, 4 Pt 2.99
2 Y 0.7500 0.7500 0.7500  4 Hf 2.99, 4 Na 2.99
3 Hf 0.5000 0.5000 0.5000  4 Y 2.99, 4 Pt 2.99
4 Pt 0.2500 0.2500 0.2500  4 Hf 2.99, 4 Na 2.99

Properties
The volume comes out at 20.519 A^3/atom. The calculation puts the energy at -5.93 eV/atom.

Entry 11:
The following is a DFT calculation (PBE) of crystalline HoEr2Sn3Pd3 at its relaxed geometry.

abc: 3.8480 7.6316 7.6316
angles: 120.05 90.00 90.00
Last column: nearest neighbours and their distance in Å.
Sites, in units of the cell vectors:
1 Ho 0.0000 0.0000 0.0000  5 Pd 3.03-3.07, 6 Sn 3.19-3.31
2 Er 0.0000 0.4017 0.8030  5 Pd 3.02-3.06, 6 Sn 3.20-3.31
3 Er 0.0000 0.8030 0.4017  5 Pd 3.02-3.06, 6 Sn 3.20-3.31
4 Sn 0.5000 0.1380 0.4017  4 Pd 2.79-2.85
5 Sn 0.5000 0.4017 0.1380  4 Pd 2.79-2.85
6 Sn 0.5000 0.6656 0.6656  4 Pd 2.78-2.85
7 Pd 0.0000 0.4024 0.4024  6 Sn 2.78-2.79, 2 Er 3.06, 1 Ho 3.07
8 Pd 0.5000 0.0686 0.7341  3 Sn 2.84-2.85, 4 Er 3.02, 2 Ho 3.03
9 Pd 0.5000 0.7341 0.0686  3 Sn 2.84-2.85, 4 Er 3.02, 2 Ho 3.03

Properties
The volume comes out at 21.554 A^3/atom. The calculation puts the energy at -5.51 eV/atom.

Entry 12:
The following is a DFT calculation (PBE) of crystalline RbZn at its relaxed geometry.

abc: 7.7146 4.7321 13.3744
angles: 90.00 90.04 90.00
Last column: nearest neighbours and their distance in Å.
Sites, in units of the cell vectors:
1 Rb 0.0000 0.0000 0.0000  4 Zn 3.67-3.78
2 Rb 0.0452 0.5000 0.3033  1 Zn 3.75, 1 Rb 3.97
3 Rb 0.2888 0.5000 0.7957  8 Zn 3.41-3.77
4 Rb 0.4990 0.0000 0.3568  4 Zn 3.67-3.79
5 Rb 0.5457 0.5000 0.0535  1 Zn 3.74, 1 Rb 3.98
6 Rb 0.7897 0.5000 0.5608  8 Zn 3.42-3.77
7 Zn 0.1502 0.0000 0.5558  4 Zn 2.58-2.73
8 Zn 0.3022 0.5000 0.5410  4 Zn 2.65-2.91
9 Zn 0.4583 0.0000 0.6301  2 Zn 2.58-2.73
10 Zn 0.6495 0.0000 0.8020  4 Zn 2.58-2.73
11 Zn 0.8016 0.5000 0.8161  4 Zn 2.65-2.91
12 Zn 0.9567 0.0000 0.7266  2 Zn 2.58-2.73

Properties
The volume comes out at 40.687 A^3/atom. The calculation puts the energy at -1.01 eV/atom.

Entry 13:
The following is a DFT calculation (PBE) of crystalline TlHg3PbSe4 at its relaxed geometry.

abc: 6.7994 6.7994 6.7994
angles: 90.00 90.00 90.00
Last column: nearest neighbours and their distance in Å.
Sites, in units of the cell vectors:
1 Tl 0.0000 0.0000 0.0000  4 Se 3.03
2 Hg 0.0000 0.5000 0.5000  4 Se 2.92
3 Hg 0.5000 0.0000 0.5000  4 Se 2.92
4 Hg 0.5000 0.5000 0.0000  4 Se 2.92
5 Pb 0.5000 0.5000 0.5000  4 Se 2.86
6 Se 0.2570 0.2570 0.2570  1 Pb 2.86, 3 Hg 2.92, 1 Tl 3.03
7 Se 0.2570 0.7430 0.7430  1 Pb 2.86, 3 Hg 2.92, 1 Tl 3.03
8 Se 0.7430 0.2570 0.7430  1 Pb 2.86, 3 Hg 2.92, 1 Tl 3.03
9 Se 0.7430 0.7430 0.2570  1 Pb 2.86, 3 Hg 2.92, 1 Tl 3.03

Properties
The volume comes out at 34.928 A^3/atom. The calculation puts the energy at -2.41 eV/atom.

Entry 14:
The following is a DFT calculation (PBE) of crystalline HfGeIr at its relaxed geometry.

abc: 6.5575 4.0958 7.6784
angles: 90.00 90.00 90.00
Last column: nearest neighbours and their distance in Å.
Sites, in units of the cell vectors:
1 Hf 0.0036 0.2500 0.1854  5 Ir 2.81-3.06, 5 Ge 2.88-3.03
2 Hf 0.4964 0.7500 0.6854  5 Ir 2.81-3.06, 5 Ge 2.88-3.03
3 Hf 0.5036 0.2500 0.3146  5 Ir 2.81-3.06, 5 Ge 2.88-3.03
4 Hf 0.9964 0.7500 0.8146  5 Ir 2.81-3.06, 5 Ge 2.88-3.03
5 Ge 0.1799 0.7500 0.4022  4 Ir 2.50-2.60
6 Ge 0.3201 0.2500 0.9022  4 Ir 2.50-2.60
7 Ge 0.6799 0.7500 0.0978  4 Ir 2.50-2.60
8 Ge 0.8201 0.2500 0.5978  4 Ir 2.50-2.60
9 Ir 0.2157 0.2500 0.5862  4 Ge 2.50-2.60
10 Ir 0.2843 0.7500 0.0862  4 Ge 2.50-2.60
11 Ir 0.7157 0.2500 0.9138  4 Ge 2.50-2.60
12 Ir 0.7843 0.7500 0.4138  4 Ge 2.50-2.60

Properties
The volume comes out at 17.186 A^3/atom. The calculation puts the energy at -8.62 eV/atom.

Entry 15:
The following is a DFT calculation (PBE) of crystalline AgSb5Mo3 at its relaxed geometry.

abc: 5.5404 5.5404 8.3474
angles: 90.00 90.00 120.00
Last column: nearest neighbours and their distance in Å.
Sites, in units of the cell vectors:
1 Ag 0.0000 0.0000 0.0000  12 Sb 3.66
2 Sb 0.0000 0.0000 0.5000  6 Mo 2.77
3 Sb 0.3333 0.6667 0.2126  3 Mo 2.88, 3 Sb 3.20
4 Sb 0.3333 0.6667 0.7874  3 Mo 2.88, 3 Sb 3.20
5 Sb 0.6667 0.3333 0.2126  3 Mo 2.88, 3 Sb 3.20
6 Sb 0.6667 0.3333 0.7874  3 Mo 2.88, 3 Sb 3.20
7 Mo 0.0000 0.5000 0.5000  4 Mo 2.77, 6 Sb 2.77-2.88
8 Mo 0.5000 0.0000 0.5000  4 Mo 2.77, 6 Sb 2.77-2.88
9 Mo 0.5000 0.5000 0.5000  4 Mo 2.77, 6 Sb 2.77-2.88

Properties
The volume comes out at 24.656 A^3/atom. The calculation puts the energy at -6.01 eV/atom.

Entry 16:
The following is a DFT calculation (PBE) of crystalline PmAuSeO at its relaxed geometry.

abc: 4.0302 4.0302 9.4492
angles: 90.00 90.00 90.00
Last column: nearest neighbours and their distance in Å.
Sites, in units of the cell vectors:
1 Pm 0.0000 0.0000 0.0000  4 O 2.33
2 Pm 0.5000 0.5000 0.2489  4 O 2.33
3 Au 0.0000 0.5000 0.6255  4 Se 2.83-2.84, 4 Au 2.85
4 Au 0.5000 0.0000 0.6255  4 Se 2.83-2.84, 4 Au 2.85
5 Se 0.0000 0.0000 0.4140  4 Au 2.84
6 Se 0.5000 0.5000 0.8362  4 Au 2.83
7 O 0.0000 0.5000 0.1245  4 Pm 2.33
8 O 0.5000 0.0000 0.1245  4 Pm 2.33

Properties
The volume comes out at 19.185 A^3/atom. The calculation puts the energy at -5.92 eV/atom.

Entry 17:
The following is a DFT calculation (PBE) of crystalline LuZnAu at its relaxed geometry.

abc: 4.6666 4.6666 4.6666
angles: 60.00 60.00 60.00
Last column: nearest neighbours and their distance in Å.
Sites, in units of the cell vectors:
1 Lu 0.0000 0.0000 0.0000  4 Au 2.86, 4 Zn 2.86
2 Zn 0.2500 0.2500 0.2500  4 Lu 2.86
3 Au 0.7500 0.7500 0.7500  4 Lu 2.86

Properties
The volume comes out at 23.954 A^3/atom. The calculation puts the energy at -3.19 eV/atom.

Entry 18:
The following is a DFT calculation (PBE) of crystalline CsHfAgTeSe2 at its relaxed geometry.

abc: 9.1770 4.0480 10.7348
angles: 90.00 113.88 90.00
Last column: nearest neighbours and their distance in Å.
Sites, in units of the cell vectors:
1 Cs 0.2371 0.2500 0.2537  5 Se 3.60-3.85, 2 Te 3.84
2 Cs 0.7629 0.7500 0.7463  5 Se 3.60-3.85, 2 Te 3.84
3 Hf 0.3171 0.7500 0.8477  5 Se 2.72-2.75, 1 Te 2.85
4 Hf 0.6829 0.2500 0.1523  5 Se 2.72-2.75, 1 Te 2.85
5 Ag 0.0715 0.2500 0.6054  1 Se 2.64, 3 Te 2.85-2.92, 2 Ag 2.92
6 Ag 0.9285 0.7500 0.3946  1 Se 2.64, 3 Te 2.85-2.92, 2 Ag 2.92
7 Te 0.2688 0.7500 0.5678  3 Ag 2.85-2.92, 1 Hf 2.85
8 Te 0.7312 0.2500 0.4322  3 Ag 2.85-2.92, 1 Hf 2.85
9 Se 0.1280 0.2500 0.8672  1 Ag 2.64, 2 Hf 2.73
10 Se 0.4689 0.7500 0.1241  3 Hf 2.72-2.75
11 Se 0.5311 0.2500 0.8759  3 Hf 2.72-2.75
12 Se 0.8720 0.7500 0.1328  1 Ag 2.64, 2 Hf 2.73

Properties
The volume comes out at 30.387 A^3/atom. The calculation puts the energy at -4.97 eV/atom.

Entry 19:
The following is a DFT calculation (PBE) of crystalline RbYFe at its relaxed geometry.

abc: 5.1791 5.1791 5.1791
angles: 60.00 60.00 60.00
Last column: nearest neighbours and their distance in Å.
Sites, in units of the cell vectors:
1 Rb 0.0000 0.0000 0.0000  4 Fe 3.17
2 Y 0.5000 0.5000 0.5000  4 Fe 3.17
3 Fe 0.2500 0.2500 0.2500  4 Rb 3.17, 4 Y 3.17

Properties
The volume comes out at 32.744 A^3/atom. The calculation puts the energy at -4.02 eV/atom.

Entry 20:
The following is a DFT calculation (PBE) of crystalline BaGdTl at its relaxed geometry.

abc: 5.5880 5.5880 5.5880
angles: 60.00 60.00 60.00
Last column: nearest neighbours and their distance in Å.
Sites, in units of the cell vectors:
1 Ba 0.0000 0.0000 0.0000  4 Tl 3.42
2 Gd 0.5000 0.5000 0.5000  4 Tl 3.42
3 Tl 0.2500 0.2500 0.2500  4 Gd 3.42, 4 Ba 3.42

Properties
The volume comes out at 41.127 A^3/atom. The calculation puts the energy at -2.94 eV/atom.